ScSi3Pd: relaxed, GGA-PBE.

SG   No. 221
Raw formation energy   5.41 eV/f.u.

a = 4.910 Å, b = 4.910 Å, c = 4.910 Å
α = 90.00°, β = 90.00°, γ = 90.00°
Sites, in units of the cell vectors:
Si: 0.500 0.000 0.000
Si: 0.000 0.000 0.500
Si: 0.000 0.500 0.000
Pd: 0.500 0.500 0.500
Sc: 0.000 0.000 0.000